Compound: Pa4Ni6Ir7
Source: the Alexandria database
Functional: PBE
Structure: relaxed

Cell: 7.0819 7.0819 7.0819 Å, 109.47 109.47 109.47°
Last column: nearest neighbours and their distance in Å.
Positions (direct):
Pa: 0.0000 0.5000 0.0000  6 Ir 2.89, 6 Ni 2.92
Pa: 0.0000 0.0000 0.5000  6 Ir 2.89, 6 Ni 2.92
Pa: 0.5000 0.0000 0.0000  6 Ir 2.89, 6 Ni 2.92
Pa: 0.5000 0.5000 0.5000  6 Ir 2.89, 6 Ni 2.92
Ir: 0.2500 0.7500 0.5000  4 Ni 2.62, 4 Ir 2.89, 4 Pa 2.89
Ir: 0.5000 0.2500 0.7500  4 Ni 2.62, 4 Ir 2.89, 4 Pa 2.89
Ir: 0.5000 0.7500 0.2500  4 Ni 2.62, 4 Ir 2.89, 4 Pa 2.89
Ir: 0.2500 0.5000 0.7500  4 Ni 2.62, 4 Pa 2.89, 4 Ir 2.89
Ir: 0.7500 0.2500 0.5000  4 Ni 2.62, 4 Ir 2.89, 4 Pa 2.89
Ir: 0.7500 0.5000 0.2500  4 Ni 2.62, 4 Pa 2.89, 4 Ir 2.89
Ir: 0.0000 0.0000 0.0000  6 Ni 2.46
Ni: 0.6995 0.0000 0.6995  5 Ir 2.46-2.62
Ni: 0.0000 0.6995 0.6995  5 Ir 2.46-2.62
Ni: 0.3005 0.0000 0.3005  5 Ir 2.46-2.62
Ni: 0.3005 0.3005 0.0000  5 Ir 2.46-2.62
Ni: 0.0000 0.3005 0.3005  5 Ir 2.46-2.62
Ni: 0.6995 0.6995 0.0000  5 Ir 2.46-2.62

Density = 15.9 g/cm3
Formation energy = -0.63 eV per atom